# 1
Nd3Y8Er2: relaxed, PBE.

The value obtained for the magnetic moment is 0.0 μB per formula unit. Its density is 5.5 g cm⁻³. The value obtained for the energy relative to the elements is 0.23 eV/atom. As for the density of states at the Fermi level: 16.75 states/eV/f.u.

The space group is C2/m (No. 12) and the conventional cell measures 14.816, 9.197 and 6.950 Å, with angles of 90.00, 108.71 and 90.00 degrees. The inequivalent atoms are Nd at (0.000, 0.000, 0.000), Nd at (0.000, 0.175, 0.500), Y at (0.088, 0.500, 0.727), Y at (0.119, 0.320, 0.183), Y at (0.192, 0.000, 0.899) and Er at (0.211, 0.000, 0.425).


# 2
Nd3Y8Er4: relaxed, PBE.

The value obtained for the magnetic moment is 0.0 μB per formula unit. Its density is 5.9 g cm⁻³. The value obtained for the energy relative to the elements is 0.40 eV/atom. As for the density of states at the Fermi level: 30.12 states/eV/f.u.

The space group is C2/m (No. 12) and the conventional cell measures 13.478, 12.837 and 6.755 Å, with angles of 90.00, 119.98 and 90.00 degrees. The inequivalent atoms are Nd at (0.000, 0.000, 0.000), Nd at (0.250, 0.250, 0.500), Y at (0.000, 0.144, 0.500), Y at (0.000, 0.250, 0.000), Y at (0.230, 0.000, 0.507), Y at (0.244, 0.000, 0.000), Er at (0.000, 0.500, 0.000), Er at (0.000, 0.500, 0.500) and Er at (0.250, 0.250, 0.000).


> Which value of density does entry 1 give?

5.5 g cm⁻³